## SrLiMg2 (PBEsol)

Data for crystalline SrLiMg2 at its relaxed geometry.

abc: 3.929 5.463 10.437
angles: 90.00 90.00 90.00
Space group Immm (No. 71)
Inequivalent atoms, fractional coordinates:
Sr: 0.000 0.000 0.000 [2 per cell]
Li: 0.000 0.000 0.500 [2 per cell]
Mg: 0.000 0.500 0.221 [4 per cell]

E_form in eV per atom: 0.0269
Energy above the lowest structure with this stoichiometry in meV per atom: 48.1

***

## Be3Co (PBEsol)

Data for crystalline Be3Co at its relaxed geometry.

abc: 4.5509 4.5509 3.6218
angles: 90.00 90.00 120.00
Space group P6_3/mmc (No. 194)
Inequivalent atoms, fractional coordinates:
Be: 0.1669 0.3338 0.2500 [6 per cell]
Co: 0.3333 0.6667 0.7500 [2 per cell]

E_form in eV per atom: -0.2646

***

## KSnC3 (PBEsol)

Data for crystalline KSnC3 at its relaxed geometry.

abc: 4.410 4.410 4.410
angles: 90.00 90.00 90.00
Space group Pm-3m (No. 221)
Inequivalent atoms, fractional coordinates:
K: 0.000 0.000 0.000 [1 per cell]
Sn: 0.500 0.500 0.500 [1 per cell]
C: 0.000 0.000 0.500 [3 per cell]

E_form in eV per atom: 3.9797

***

## CrP2H13N2O10 (PBEsol)

Data for crystalline CrP2H13N2O10 at its relaxed geometry.

abc: 6.993 8.197 9.480
angles: 104.68 99.38 103.97
Space group P-1 (No. 2)
Inequivalent atoms, fractional coordinates:
Cr: 0.238 0.314 0.199 [2 per cell]
P: 0.207 0.959 0.283 [2 per cell]
P: 0.397 0.823 0.712 [2 per cell]
H: 0.024 0.339 0.402 [2 per cell]
H: 0.044 0.703 0.025 [2 per cell]
H: 0.131 0.292 0.721 [2 per cell]
H: 0.147 0.742 0.887 [2 per cell]
H: 0.156 0.545 0.414 [2 per cell]
H: 0.191 0.094 0.932 [2 per cell]
H: 0.222 0.906 0.513 [2 per cell]
H: 0.227 0.190 0.595 [2 per cell]
H: 0.268 0.422 0.488 [2 per cell]
H: 0.278 0.636 0.201 [2 per cell]
H: 0.326 0.293 0.937 [2 per cell]
H: 0.436 0.170 0.017 [2 per cell]
H: 0.487 0.385 0.758 [2 per cell]
N: 0.162 0.417 0.396 [2 per cell]
N: 0.304 0.206 0.999 [2 per cell]
O: 0.018 0.673 0.912 [2 per cell]
O: 0.106 0.761 0.210 [2 per cell]
O: 0.114 0.072 0.204 [2 per cell]
O: 0.211 0.013 0.452 [2 per cell]
O: 0.227 0.792 0.574 [2 per cell]
O: 0.255 0.300 0.681 [2 per cell]
O: 0.330 0.845 0.857 [2 per cell]
O: 0.364 0.554 0.188 [2 per cell]
O: 0.439 0.988 0.268 [2 per cell]
O: 0.493 0.318 0.322 [2 per cell]

Raw total energy in eV per atom: -6.075

***

## Mo2PAu (PBEsol)

Data for crystalline Mo2PAu at its relaxed geometry.

abc: 4.364 2.875 9.844
angles: 90.00 90.00 90.00
Space group Amm2 (No. 38)
Inequivalent atoms, fractional coordinates:
Mo: 0.000 0.000 0.000 [2 per cell]
Mo: 0.500 0.000 0.370 [2 per cell]
P: 0.000 0.000 0.288 [2 per cell]
Au: 0.500 0.000 0.633 [2 per cell]

E_form in eV per atom: 0.0941

***

## CdSCl2 (PBEsol)

Data for crystalline CdSCl2 at its relaxed geometry.

abc: 3.6210 3.6210 28.1272
angles: 90.00 90.00 120.00
Space group R-3m (No. 166, hexagonal axes)
Inequivalent atoms, fractional coordinates:
Cd: 0.0000 0.0000 0.0000 [3 per cell]
S: 0.0000 0.0000 0.5000 [3 per cell]
Cl: 0.0000 0.0000 0.0811 [6 per cell]

Formation energy without anion corrections in meV per atom: 312

***

## Co2MoOs (PBEsol)

Data for crystalline Co2MoOs at its relaxed geometry.

abc: 2.600 4.151 4.507
angles: 90.00 90.00 90.00
Space group Pmm2 (No. 25)
Inequivalent atoms, fractional coordinates:
Co: 0.000 0.000 0.000 [1 per cell]
Co: 0.000 0.500 0.316 [1 per cell]
Mo: 0.500 0.500 0.826 [1 per cell]
Os: 0.500 0.000 0.474 [1 per cell]

E_form in eV per atom: -0.0371
Energy above the lowest structure with this stoichiometry in meV per atom: 0.0

***

## Sr2NiTeO6 (PBEsol)

Data for crystalline Sr2NiTeO6 at its relaxed geometry.

abc: 9.638 5.550 5.646
angles: 90.00 125.70 90.00
Space group C2/m (No. 12)
Inequivalent atoms, fractional coordinates:
Sr: 0.249 0.000 0.253 [4 per cell]
Ni: 0.000 0.500 0.000 [2 per cell]
Te: 0.000 0.000 0.500 [2 per cell]
O: 0.035 0.246 0.293 [8 per cell]
O: 0.244 0.000 0.808 [4 per cell]

Formation energy without anion corrections in meV per atom: -1870
Energy above the lowest structure with this stoichiometry in meV per atom: 0.0

***

## LiCaRh2 (PBEsol)

Data for crystalline LiCaRh2 at its relaxed geometry.

abc: 2.8912 2.8912 28.4308
angles: 90.00 90.00 120.00
Space group R3m (No. 160, hexagonal axes)
Inequivalent atoms, fractional coordinates:
Li: 0.0000 0.0000 0.0000 [3 per cell]
Ca: 0.0000 0.0000 0.2258 [3 per cell]
Rh: 0.0000 0.0000 0.4779 [3 per cell]
Rh: 0.0000 0.0000 0.7390 [3 per cell]

E_form in eV per atom: 0.3649

***

## CdRu (PBEsol)

Data for crystalline CdRu at its relaxed geometry.

abc: 3.418 3.418 6.457
angles: 90.00 90.00 90.00
Space group P4/nmm (No. 129, origin choice 2)
Inequivalent atoms, fractional coordinates:
Cd: 0.250 0.250 0.140 [2 per cell]
Ru: 0.250 0.750 0.500 [2 per cell]

E_form in eV per atom: 0.6890

***

## Ba2Li2In (PBEsol)

Data for crystalline Ba2Li2In at its relaxed geometry.

abc: 7.628 7.628 5.497
angles: 90.00 90.00 90.00
Space group P4/mbm (No. 127)
Inequivalent atoms, fractional coordinates:
Ba: 0.197 0.303 0.000 [4 per cell]
Li: 0.132 0.632 0.500 [4 per cell]
In: 0.000 0.000 0.500 [2 per cell]

E_form in eV per atom: -0.1257

***

## FeB3Cl (PBEsol)

Data for crystalline FeB3Cl at its relaxed geometry.

abc: 3.754 3.754 3.754
angles: 90.00 90.00 90.00
Space group Pm-3m (No. 221)
Inequivalent atoms, fractional coordinates:
Fe: 0.000 0.000 0.000 [1 per cell]
B: 0.000 0.500 0.500 [3 per cell]
Cl: 0.500 0.500 0.500 [1 per cell]

Formation energy without anion corrections in meV per atom: 2307

***

## KAgBr2 (PBEsol)

Data for crystalline KAgBr2 at its relaxed geometry.

abc: 7.761 7.761 8.036
angles: 90.00 90.00 90.00
Space group I-42d (No. 122)
Inequivalent atoms, fractional coordinates:
K: 0.000 0.000 0.000 [4 per cell]
Ag: 0.000 0.000 0.500 [4 per cell]
Br: 0.194 0.250 0.625 [8 per cell]

Formation energy without anion corrections in meV per atom: -965

***

## TePb (PBEsol)

Data for crystalline TePb at its relaxed geometry.

abc: 4.4565 4.4565 7.8445
angles: 90.00 90.00 120.00
Space group P6_3/mmc (No. 194)
Inequivalent atoms, fractional coordinates:
Te: 0.3333 0.6667 0.2500 [2 per cell]
Pb: 0.0000 0.0000 0.0000 [2 per cell]

Formation energy without anion corrections in meV per atom: -327

***

## MnAlSe2 (PBEsol)

Data for crystalline MnAlSe2 at its relaxed geometry.

abc: 4.592 4.592 3.272
angles: 90.00 90.00 90.00
Space group P4/mmm (No. 123)
Inequivalent atoms, fractional coordinates:
Mn: 0.000 0.000 0.000 [1 per cell]
Al: 0.500 0.500 0.000 [1 per cell]
Se: 0.000 0.500 0.500 [2 per cell]

Formation energy without anion corrections in meV per atom: 28

***

## RbNbGe3 (PBEsol)

Data for crystalline RbNbGe3 at its relaxed geometry.

abc: 5.155 5.155 5.155
angles: 90.00 90.00 90.00
Space group Pm-3m (No. 221)
Inequivalent atoms, fractional coordinates:
Rb: 0.000 0.000 0.000 [1 per cell]
Nb: 0.500 0.500 0.500 [1 per cell]
Ge: 0.000 0.000 0.500 [3 per cell]

E_form in eV per atom: 2.2483
Energy above the lowest structure with this stoichiometry in meV per atom: 2198.6

***

## Rb (PBEsol)

Data for crystalline Rb at its relaxed geometry.

abc: 4.606 4.606 16.645
angles: 90.00 90.00 90.00
Space group I4_1/amd (No. 141, origin choice 2)
Inequivalent atoms, fractional coordinates:
Rb: 0.000 0.250 0.375 [4 per cell]

E_form in eV per atom: 0.0590
Energy above the lowest structure with this stoichiometry in meV per atom: 59.0

***

## K3TaN (PBEsol)

Data for crystalline K3TaN at its relaxed geometry.

abc: 6.663 6.663 6.663
angles: 90.00 90.00 90.00
Space group Pm-3m (No. 221)
Inequivalent atoms, fractional coordinates:
K: 0.000 0.000 0.500 [3 per cell]
Ta: 0.000 0.000 0.000 [1 per cell]
N: 0.500 0.500 0.500 [1 per cell]

Formation energy without anion corrections in meV per atom: 2316

***

## TiFeO3 (PBEsol)

Data for crystalline TiFeO3 at its relaxed geometry.

abc: 5.200 7.405 5.097
angles: 90.00 90.00 90.00
Space group Pnma (No. 62)
Inequivalent atoms, fractional coordinates:
Ti: 0.000 0.000 0.000 [4 per cell]
Fe: 0.048 0.250 0.492 [4 per cell]
O: 0.073 0.750 0.880 [4 per cell]
O: 0.175 0.564 0.332 [8 per cell]

Formation energy without anion corrections in meV per atom: -2115

***

## ReTe2C (PBEsol)

Data for crystalline ReTe2C at its relaxed geometry.

abc: 3.9179 3.9179 20.2933
angles: 90.00 90.00 120.00
Space group R-3m (No. 166, hexagonal axes)
Inequivalent atoms, fractional coordinates:
Re: 0.0000 0.0000 0.0000 [3 per cell]
Te: 0.0000 0.0000 0.4034 [6 per cell]
C: 0.0000 0.0000 0.5000 [3 per cell]

Formation energy without anion corrections in meV per atom: 1559

***

## ZrRh2 (PBEsol)

Data for crystalline ZrRh2 at its relaxed geometry.

abc: 8.747 4.026 5.499
angles: 90.00 104.12 90.00
Space group C2/m (No. 12)
Inequivalent atoms, fractional coordinates:
Zr: 0.143 0.000 0.304 [4 per cell]
Rh: 0.000 0.500 0.000 [2 per cell]
Rh: 0.000 0.500 0.500 [2 per cell]
Rh: 0.177 0.000 0.824 [4 per cell]

E_form in eV per atom: -0.7202

***

## Tb3SiBr3 (PBEsol)

Data for crystalline Tb3SiBr3 at its relaxed geometry.

abc: 11.419 11.419 11.419
angles: 90.00 90.00 90.00
Space group I4_132 (No. 214)
Inequivalent atoms, fractional coordinates:
Tb: 0.115 0.365 0.125 [24 per cell]
Si: 0.125 0.125 0.125 [8 per cell]
Br: 0.118 0.132 0.625 [24 per cell]

Formation energy without anion corrections in meV per atom: -1423

***

## YSeBr2 (PBEsol)

Data for crystalline YSeBr2 at its relaxed geometry.

abc: 3.743 3.743 7.354
angles: 90.00 90.00 90.00
Space group P4mm (No. 99)
Inequivalent atoms, fractional coordinates:
Y: 0.000 0.000 0.000 [1 per cell]
Se: 0.500 0.500 0.855 [1 per cell]
Br: 0.000 0.000 0.612 [1 per cell]
Br: 0.500 0.500 0.258 [1 per cell]

Formation energy without anion corrections in meV per atom: -1154
Energy above the lowest structure with this stoichiometry in meV per atom: 49.0

***

## La2CdRh (PBEsol)

Data for crystalline La2CdRh at its relaxed geometry.

abc: 4.0245 4.0245 24.4987
angles: 90.00 90.00 120.00
Space group R-3m (No. 166, hexagonal axes)
Inequivalent atoms, fractional coordinates:
La: 0.0000 0.0000 0.2327 [6 per cell]
Cd: 0.0000 0.0000 0.0000 [3 per cell]
Rh: 0.0000 0.0000 0.5000 [3 per cell]

E_form in eV per atom: -0.4256